The following is a GGA-PBE calculation of a geometry-optimized ScSn2W structure, from Alexandria via LeMat-Bulk.

The structure in POSCAR format:
```
ScSn2W
1.0
0.000 3.420 3.420
3.420 0.000 3.420
3.420 3.420 0.000
Sn Sc W
2 1 1
Cartesian
5.130 5.130 5.130
1.710 1.710 1.710
0.000 0.000 0.000
3.420 3.420 3.420
```

E_tot: -6.69 eV per atom
Energy above the most stable polymorph in this dataset: 0.0000 eV per atom
Crystal system: cubic
Formation enthalpy at 0 K: 132 meV per atom


The following is a GGA-PBE calculation of a geometry-optimized Pr2ZnCu5Ni2 structure, from Alexandria via LeMat-Bulk.

The structure in POSCAR format:
```
Pr2ZnCu5Ni2
1.0
3.791 0.000 0.000
0.000 9.292 0.000
0.000 0.000 9.292
Pr Cu Ni Zn
4 10 4 2
Cartesian
0.000 6.357 1.711
0.000 1.711 2.935
0.000 7.581 6.357
0.000 2.935 7.581
1.895 8.799 1.885
1.895 4.153 2.761
1.895 4.646 0.000
1.895 0.493 7.407
1.895 0.000 4.646
1.895 7.407 8.799
1.895 1.885 0.493
1.895 2.761 5.138
1.895 6.531 4.153
1.895 5.138 6.531
0.000 3.588 1.058
0.000 5.703 8.234
0.000 1.058 5.703
0.000 8.234 3.588
0.000 0.000 0.000
0.000 4.646 4.646
```

E_tot: -4.39 eV per atom
Crystal system: tetragonal
Formation enthalpy at 0 K: -103 meV per atom


The following is a GGA-PBE calculation of a geometry-optimized TbPm4Y4 structure, from Alexandria via LeMat-Bulk.

The structure in POSCAR format:
```
TbPm4Y4
1.0
-4.182 -1.969 -2.142
-5.019 -2.320 5.873
-5.337 5.947 -1.107
Y Pm Tb
4 4 1
Cartesian
-3.169 1.316 -1.082
-8.400 4.518 0.128
-11.369 0.341 3.707
-6.138 -2.861 2.497
-8.303 1.765 2.470
-5.124 0.428 3.552
-6.235 -0.108 0.154
-9.414 1.229 -0.927
0.000 0.000 0.000
```

E_tot: -5.48 eV per atom
Crystal system: tetragonal
Formation enthalpy at 0 K: 18 meV per atom


The following is a GGA-PBE calculation of a geometry-optimized Mn2Zn structure, from Alexandria via LeMat-Bulk.

The structure in POSCAR format:
```
Mn2Zn
1.0
2.974 -3.626 -0.324
2.883 -1.003 3.575
-0.713 -3.863 2.582
Mn Zn
4 2
Cartesian
0.643 -1.061 0.729
0.286 -2.993 2.020
2.130 -2.874 0.567
2.084 -1.563 2.517
2.572 -4.246 2.916
3.857 -6.369 4.374
```

E_tot: -6.23 eV per atom
Crystal system: cubic
Formation enthalpy at 0 K: 304 meV per atom


The following is a GGA-PBE calculation of a geometry-optimized CaSiSn structure, from Alexandria via LeMat-Bulk.

The structure in POSCAR format:
```
CaSiSn
1.0
5.189 0.000 0.000
0.000 4.198 0.000
0.000 -2.099 3.636
Sn Si Ca
1 1 1
Cartesian
1.350 0.000 2.424
0.200 0.000 0.000
3.638 2.099 1.212
```

E_tot: -4.14 eV per atom
Crystal system: trigonal
E_form (uncorrected): -0.335 eV/atom


The following is a GGA-PBE calculation of a geometry-optimized BeAg4Se structure, from Alexandria via LeMat-Bulk.

The structure in POSCAR format:
```
BeAg4Se
1.0
0.000 3.865 3.865
3.865 0.000 3.865
3.865 3.865 0.000
Ag Be Se
4 1 1
Cartesian
4.826 2.904 2.904
4.826 4.826 4.826
2.904 2.904 4.826
2.904 4.826 2.904
1.932 1.932 1.932
0.000 0.000 0.000
```

E_tot: -2.60 eV per atom
Crystal system: cubic
E_form (uncorrected): 0.507 eV/atom


The following is a GGA-PBE calculation of a geometry-optimized ZrCo2Pt structure, from Alexandria via LeMat-Bulk.

The structure in POSCAR format:
```
ZrCo2Pt
1.0
4.796 0.002 -0.032
1.708 4.482 0.032
-3.233 -2.269 2.721
Pt Zr Co
1 1 2
Cartesian
3.252 2.242 0.000
0.863 2.227 1.376
6.503 4.483 0.000
2.408 -0.012 1.344
```

E_tot: -7.61 eV per atom
Crystal system: tetragonal
Formation enthalpy at 0 K: -413 meV per atom


The following is a GGA-PBE calculation of a geometry-optimized OsCl structure, from Alexandria via LeMat-Bulk.

The structure in POSCAR format:
```
OsCl
1.0
9.978 0.000 0.000
-4.989 8.641 0.000
0.000 0.000 3.444
Os Cl
6 6
Cartesian
2.817 5.015 0.861
5.752 0.067 2.583
2.172 3.627 2.583
7.044 4.947 2.583
-2.055 3.694 0.861
-0.763 8.574 0.861
-2.479 7.310 2.583
2.407 1.508 0.861
2.582 7.133 2.583
7.469 1.331 0.861
5.091 5.803 0.861
-0.102 2.839 2.583
```

E_tot: -5.80 eV per atom
Energy above the most stable polymorph in this dataset: 0.6101 eV per atom
Crystal system: hexagonal
E_form (uncorrected): 0.734 eV/atom


The following is a GGA-PBE calculation of a geometry-optimized Al3CdAg3 structure, from Alexandria via LeMat-Bulk.

The structure in POSCAR format:
```
Al3CdAg3
1.0
-4.334 5.223 -2.355
-5.543 -3.074 3.382
1.451 3.857 5.885
Cd Ag Al
2 6 6
Cartesian
0.000 0.000 0.000
-4.213 3.003 3.456
-3.553 1.843 -0.332
-2.525 5.846 1.176
-2.409 -0.573 3.162
-0.358 3.234 2.354
-1.683 1.355 6.104
-6.324 0.306 1.359
-3.855 -0.231 1.102
-0.660 1.160 3.788
-3.432 -0.377 5.479
-6.022 2.380 -0.075
-1.804 3.576 0.294
-1.079 5.504 3.236
```

E_tot: -2.44 eV per atom
Crystal system: cubic
Formation enthalpy at 0 K: 518 meV per atom


The following is a GGA-PBE calculation of a geometry-optimized Pr2TiCuO6 structure, from Alexandria via LeMat-Bulk.

The structure in POSCAR format:
```
Pr2TiCuO6
1.0
-0.142 4.683 2.952
-2.109 -2.978 4.623
7.142 -1.279 2.435
O Ti Cu Pr
12 2 2 4
Cartesian
1.674 -1.223 5.327
1.636 2.367 2.483
3.217 1.650 4.682
0.548 2.361 5.734
5.018 0.260 8.360
4.342 -1.935 4.275
2.059 0.551 7.447
3.254 -1.941 7.526
6.036 1.161 5.903
-1.145 -0.734 4.106
-0.128 0.167 1.649
2.832 -0.124 2.562
3.500 1.702 2.693
-1.055 -1.489 2.311
-0.071 2.342 1.476
2.516 -2.128 3.529
4.089 -0.242 5.967
5.072 3.458 5.047
-0.181 -3.031 4.962
0.801 0.668 4.042
```

E_tot: -7.84 eV per atom
Crystal system: monoclinic
E_form (uncorrected): -2.708 eV/atom


The following is a GGA-PBE calculation of a geometry-optimized Li12Mg2Tl structure, from Alexandria via LeMat-Bulk.

The structure in POSCAR format:
```
Li12Mg2Tl
1.0
-1.207 -2.702 5.078
0.754 -5.826 0.187
18.962 2.643 5.916
Li Tl Mg
24 2 4
Cartesian
10.906 -3.510 4.697
16.381 0.166 6.460
0.636 -3.294 4.277
7.611 -5.270 6.458
15.166 2.114 4.731
7.858 -1.039 3.774
2.354 -1.787 2.088
2.128 -6.053 4.716
16.891 -1.029 9.348
6.196 0.864 1.933
7.607 -2.272 6.419
14.939 -2.150 7.364
12.766 1.779 3.983
12.539 -2.485 6.615
8.582 -3.937 4.038
16.153 -4.096 9.096
1.617 -4.856 1.832
3.796 0.529 1.184
9.920 -2.052 7.206
10.877 -0.582 4.774
5.969 -3.400 4.565
17.872 -2.591 6.903
10.671 -4.879 7.354
3.569 -3.735 3.816
0.378 -2.913 0.094
18.357 1.292 8.454
14.105 -1.000 4.376
5.574 -2.189 1.715
4.630 -0.622 4.172
13.161 0.567 6.833
```

E_tot: -1.91 eV per atom
Crystal system: orthorhombic
Formation enthalpy at 0 K: -8 meV per atom


The following is a GGA-PBE calculation of a geometry-optimized Tc3MoIr structure, from Alexandria via LeMat-Bulk.

The structure in POSCAR format:
```
Tc3MoIr
1.0
-2.990 -3.400 -0.589
1.967 -1.039 -3.988
2.836 -2.865 2.145
Mo Tc Ir
1 3 1
Cartesian
0.000 0.000 0.000
1.418 -1.433 1.072
0.984 -0.519 -1.994
-1.495 -1.700 -0.295
0.906 -3.652 -1.216
```

E_tot: -8.23 eV per atom
Energy above the most stable polymorph in this dataset: 0.0000 eV per atom
Crystal system: cubic
Formation enthalpy at 0 K: 1925 meV per atom


The following is a GGA-PBE calculation of a geometry-optimized Sr2Si3Pd12Pt structure, from Alexandria via LeMat-Bulk.

The structure in POSCAR format:
```
Sr2Si3Pd12Pt
1.0
-4.931 -2.336 5.543
-3.304 -6.928 -1.257
2.633 -5.757 4.518
Sr Pd Si Pt
2 12 3 1
Cartesian
-2.194 -5.881 3.447
-3.409 -9.140 5.357
-1.813 -5.946 6.476
-4.705 -6.491 6.152
-5.152 -6.605 3.228
-3.261 -9.692 8.298
-2.460 -11.952 4.951
-2.342 -5.329 0.506
-3.143 -3.069 3.853
-3.790 -9.074 2.328
-0.451 -8.416 5.576
-6.183 -10.268 5.455
0.580 -4.753 3.349
-0.898 -8.529 2.652
-2.466 -1.168 2.771
-1.652 -3.464 -0.628
1.316 -2.879 2.259
0.000 0.000 0.000
```

E_tot: -5.12 eV per atom
Crystal system: trigonal
E_form (uncorrected): -0.232 eV/atom


The following is a GGA-PBE calculation of a geometry-optimized KNa2NbCl8 structure, from Alexandria via LeMat-Bulk.

The structure in POSCAR format:
```
KNa2NbCl8
1.0
6.704 0.200 0.389
0.288 6.425 0.342
0.545 0.472 9.121
Cl K Na Nb
8 1 2 1
Cartesian
1.840 5.553 7.768
2.438 1.925 9.096
6.200 2.003 7.830
5.058 4.863 5.375
5.696 1.543 2.085
2.479 2.234 4.478
5.099 5.171 0.757
1.337 5.093 2.023
0.272 0.236 4.560
4.020 3.911 3.159
3.516 3.185 6.694
0.000 0.000 0.000
```

E_tot: -3.86 eV per atom
Crystal system: triclinic
E_form (uncorrected): -1.482 eV/atom


The following is a GGA-PBE calculation of a geometry-optimized PmVCo structure, from Alexandria via LeMat-Bulk.

The structure in POSCAR format:
```
PmVCo
1.0
4.670 0.000 0.000
-2.335 2.340 0.000
0.000 0.000 10.275
Co Pm V
2 2 2
Cartesian
2.335 0.908 0.000
0.000 0.912 5.137
2.335 0.912 3.397
2.335 0.912 6.878
0.000 0.908 9.277
0.000 0.908 0.998
```

E_tot: -6.75 eV per atom
Crystal system: orthorhombic
Formation enthalpy at 0 K: 238 meV per atom


The following is a GGA-PBE calculation of a geometry-optimized BeAsPd4 structure, from Alexandria via LeMat-Bulk.

The structure in POSCAR format:
```
BeAsPd4
1.0
4.623 0.000 0.419
0.000 5.457 0.000
0.285 0.000 7.160
Pd Be As
8 2 2
Cartesian
0.402 4.824 4.721
0.325 2.174 5.821
4.505 0.633 2.859
2.194 2.095 2.649
2.713 3.362 4.930
4.582 3.283 1.758
2.271 4.902 1.548
2.637 0.555 6.031
2.454 0.000 3.790
0.142 2.729 3.580
0.000 0.000 0.000
2.311 2.729 0.210
```

E_tot: -5.14 eV per atom
Energy above the most stable polymorph in this dataset: 0.0584 eV per atom
Crystal system: monoclinic
Formation enthalpy at 0 K: -278 meV per atom


The following is a GGA-PBE calculation of a geometry-optimized TiGe3C structure, from Alexandria via LeMat-Bulk.

The structure in POSCAR format:
```
TiGe3C
1.0
4.297 0.000 0.000
0.000 4.297 0.000
0.000 0.000 4.297
Ti Ge C
1 3 1
Cartesian
2.149 2.149 2.149
2.149 0.000 0.000
0.000 0.000 2.149
0.000 2.149 0.000
0.000 0.000 0.000
```

E_tot: -5.28 eV per atom
Energy above the most stable polymorph in this dataset: 0.0000 eV per atom
Crystal system: cubic
Formation enthalpy at 0 K: 910 meV per atom


The following is a GGA-PBE calculation of a geometry-optimized Sm3Si3Pd2 structure, from Alexandria via LeMat-Bulk.

The structure in POSCAR format:
```
Sm3Si3Pd2
1.0
-0.619 4.145 -1.064
-4.860 -2.562 1.629
2.534 3.890 13.675
Si Sm Pd
6 6 4
Cartesian
-0.226 3.762 6.001
-2.820 0.645 4.152
-1.295 2.122 0.233
-1.649 3.351 14.007
-2.718 1.710 8.239
-0.125 4.827 10.088
-3.572 3.184 5.692
-1.046 2.915 3.177
-1.899 2.557 11.063
1.333 3.372 12.355
0.627 2.289 8.548
-4.277 2.101 1.885
-1.070 5.311 12.522
-1.078 1.384 6.015
-1.866 4.089 8.225
-1.874 0.162 1.718
```

E_tot: -6.00 eV per atom
Crystal system: orthorhombic
E_form (uncorrected): -0.900 eV/atom


The following is a GGA-PBE calculation of a geometry-optimized Nd3Sm3ErS8 structure, from Alexandria via LeMat-Bulk.

The structure in POSCAR format:
```
Nd3Sm3ErS8
1.0
8.032 0.000 0.000
-4.016 6.956 -0.024
0.000 -4.614 6.608
Nd S Sm Er
3 8 3 1
Cartesian
0.000 0.000 0.000
2.008 3.478 -0.012
-2.008 3.478 -0.012
0.000 -0.039 4.871
0.000 2.325 1.675
6.073 -1.181 1.725
1.959 -1.181 1.725
4.016 2.381 1.713
-2.057 3.523 4.859
4.016 0.017 4.909
2.057 3.523 4.859
-2.008 1.171 3.292
4.016 -2.307 3.304
2.008 1.171 3.292
0.000 -2.307 3.304
```

E_tot: -6.46 eV per atom
Crystal system: trigonal
E_form (uncorrected): -2.055 eV/atom


The following is a GGA-PBE calculation of a geometry-optimized Ac4Hg2C structure, from Alexandria via LeMat-Bulk.

The structure in POSCAR format:
```
Ac4Hg2C
1.0
-0.046 2.979 -4.587
-4.920 1.982 1.336
5.990 3.590 5.532
Ac C Hg
4 1 2
Cartesian
1.195 2.069 1.332
-0.172 6.482 0.950
-2.460 0.991 0.668
-0.023 1.490 -2.294
0.000 0.000 0.000
-1.588 4.030 -0.628
2.612 4.521 2.910
```

E_tot: -3.93 eV per atom
Crystal system: tetragonal
Formation enthalpy at 0 K: -182 meV per atom